Record 1
Entry from Alexandria via LeMat-Bulk: an optimized crystal structure of ThBiSb (GGA-PBE).

Summary:
Excess energy over the best structure of this formula in the dataset in eV/atom: 0.0730
Calculated total energy in eV/f.u.: -17.24
Space group: I4/mmm, No. 139
ρ in g/cm3: 10.06

abc: 4.479 4.479 9.790
angles: 103.22 103.22 90.00
Atoms (fractional coordinates):
Th (0.368, 0.368, 0.736)
Th (0.632, 0.632, 0.264)
Bi (0.184, 0.184, 0.369)
Bi (0.816, 0.816, 0.631)
Sb (0.000, 0.500, 0.000)
Sb (0.500, 0.000, 0.000)

=====

Record 2
Entry from Alexandria via LeMat-Bulk: an optimized crystal structure of In2NiAg (GGA-PBE).

Summary:
Excess energy over the best structure of this formula in the dataset in eV/atom: 0.1268
Calculated total energy in eV/f.u.: -13.74
Calculated formation energy in kJ/mol of formula units: 36
Space group: I-4m2, No. 119
ρ in g/cm3: 8.94

abc: 5.280 5.280 5.280
angles: 134.54 134.54 66.25
Atoms (fractional coordinates):
Ag (0.750, 0.250, 0.500)
In (0.000, 0.000, 0.000)
In (0.250, 0.750, 0.500)
Ni (0.500, 0.500, 0.000)

=====

Record 3
Entry from Alexandria via LeMat-Bulk: an optimized crystal structure of CeAl3 (GGA-PBE).

Summary:
Calculated total energy in eV/f.u.: -18.65
Calculated formation energy in kJ/mol of formula units: -144
Space group: P6_3/mmc, No. 194
ρ in g/cm3: 4.50

abc: 6.232 6.232 9.701
angles: 90.00 90.00 120.00
Each line ends with the local moment (μB).
Atoms (fractional coordinates):
Ce (0.000, 0.000, 0.000)  0.45
Ce (0.000, 0.000, 0.500)  0.45
Ce (0.667, 0.333, 0.750)  0.30
Ce (0.333, 0.667, 0.250)  0.30
Al (0.500, 0.500, 0.000)  0.00
Al (0.500, 0.500, 0.500)  0.00
Al (0.000, 0.500, 0.000)  0.00
Al (0.500, 0.000, 0.000)  0.00
Al (0.500, 0.000, 0.500)  0.00
Al (0.000, 0.500, 0.500)  0.00
Al (0.184, 0.816, 0.750)  0.01
Al (0.816, 0.184, 0.250)  0.01
Al (0.632, 0.816, 0.750)  0.01
Al (0.184, 0.368, 0.750)  0.01
Al (0.816, 0.632, 0.250)  0.01
Al (0.368, 0.184, 0.250)  0.01

=====

Record 4
Entry from Alexandria via LeMat-Bulk: an optimized crystal structure of Th3MgBi4 (GGA-PBE).

Summary:
Calculated total energy in eV/f.u.: -42.90
Calculated formation energy in kJ/mol of formula units: -340
Space group: P4/mmm, No. 123
ρ in g/cm3: 9.57

abc: 4.565 4.565 12.957
angles: 90.00 90.00 90.00
Atoms (fractional coordinates):
Mg (0.000, 0.000, 0.000)
Bi (0.000, 0.000, 0.243)
Bi (0.500, 0.500, 0.000)
Bi (0.000, 0.000, 0.757)
Bi (0.500, 0.500, 0.500)
Th (0.500, 0.500, 0.751)
Th (0.000, 0.000, 0.500)
Th (0.500, 0.500, 0.249)

=====

Q: Look up the ρ of the fourth one.
A: 9.57 g/cm3

=====

Q: Number 3 is which compound?
A: CeAl3

=====

Q: Among the records above, which one has the lowest ρ?
A: CeAl3